1.
A relaxed structure of Nd6Rh2I3N, computed with PBE-GGA.

Output
As for the electronic total energy: -5.67 eV/atom. The magnetic moment is 0.000 μB/cell.

Structure (POSCAR):
```
Nd6Rh2I3N
1.0
7.0617 0.0062 0.0076
-3.5238 6.1197 0.0076
-1.1726 -2.0304 8.0453
Nd Rh I N
6 2 3 1
direct
0.9417 0.6306 0.8234
0.7465 0.7465 0.1778
0.0583 0.3694 0.1766
0.6306 0.9417 0.8234
0.2535 0.2535 0.8222
0.3694 0.0583 0.1766
0.3333 0.6667 0.0000
0.6667 0.3333 0.0000
0.1678 0.8322 0.5000
0.8322 0.1678 0.5000
0.5000 0.5000 0.5000
0.0000 0.0000 0.0000
```



2.
A relaxed structure of Nd8Rh3I3N, computed with PBE-GGA.

Output
As for the electronic total energy: -5.70 eV/atom. The magnetic moment is 0.002 μB/cell.

Structure (POSCAR):
```
Nd8Rh3I3N
1.0
8.1664 -0.0023 0.0028
-4.0852 7.0823 -0.0279
0.0042 -4.6880 8.1556
Nd Rh I N
8 3 3 1
direct
0.2713 0.5423 0.3129
0.7287 0.4577 0.6871
0.7880 0.5762 0.3247
0.2120 0.4238 0.6753
0.7883 0.0356 0.3247
0.2117 0.9644 0.6753
0.2470 0.0355 0.3246
0.7530 0.9645 0.6754
0.5000 0.0000 0.5000
0.5000 0.5000 0.5000
0.0000 0.5000 0.5000
0.0000 0.0000 0.0000
0.0000 0.5000 0.0000
0.5000 0.5000 0.0000
0.0000 0.0000 0.5000
```



3.
A relaxed structure of Nd2SmI2N2, computed with PBE-GGA.

Output
As for the electronic total energy: -5.96 eV/atom. The magnetic moment is 0.983 μB/cell.

Structure (POSCAR):
```
Nd2SmI2N2
1.0
4.5941 0.0000 0.0000
0.0000 4.5941 0.0000
-2.2971 -2.2971 9.7027
Nd Sm I N
2 1 2 2
direct
0.4234 0.4234 0.8467
0.5766 0.5766 0.1533
0.0000 0.0000 0.0000
0.1653 0.1653 0.3307
0.8347 0.8347 0.6693
0.0000 0.5000 0.0000
0.5000 0.0000 0.0000
```



> Which of these has the highest magnetic moment?

Nd2SmI2N2



> Look up the magnetic moment of the first one.

0.000 μB/cell